{
  "formula": "SrTcH2N",
  "functional": "PBE",
  "state": "optimized geometry",
  "lattice": [[-2.185, -3.153, 0.026], [1.000, -0.723, -3.633], [3.062, -2.111, 1.263]],
  "species": ["Sr", "N", "H", "H", "Tc"],
  "frac_coords": [[0.500, 0.500, 0.500], [0.000, 0.000, 0.500], [0.500, 0.000, 0.000], [0.000, 0.500, 0.000], [0.000, 0.000, 0.000]],
  "mass_density_g_cm3": 5.79,
  "dft_energy_ev_per_cell": -29.28,
  "volume_a3_per_atom": 11.6
}